The following is a GGA+U calculation of a relaxed structure of Fe2PO, from Alexandria.

As for the crystal system: cubic. The energy above the most stable polymorph in this dataset is 628 meV per atom. The value obtained for the spin magnetization is 6.48 μB per formula unit.

a = 5.8280 Å, b = 5.8280 Å, c = 5.8280 Å
α = 90.00°, β = 90.00°, γ = 90.00°
Space group Fm-3m (No. 225)
Inequivalent atoms, fractional coordinates:
Fe (0.2500, 0.2500, 0.2500) x8
P (0.0000, 0.0000, 0.0000) x4
O (0.0000, 0.0000, 0.5000) x4